A plane-wave DFT calculation with GGA-PBE was carried out for a geometry-optimized Ho3Er6Tm2In structure.

Results
E_form ... -36 meV/atom
Final energy ... -4.43 eV per atom

abc: 6.027 10.448 11.506
angles: 90.00 100.13 90.00
Space group C2/m (No. 12)
Asymmetric unit:
Ho  0.000  0.000  0.000 [2 per cell]
Ho  0.000  0.333  0.000 [4 per cell]
Er  0.247  0.335  0.746 [8 per cell]
Er  0.248  0.500  0.252 [4 per cell]
Tm  0.000  0.166  0.500 [4 per cell]
In  0.000  0.500  0.500 [2 per cell]